No. 1
A plane-wave DFT calculation with PBE-GGA was carried out for an optimized crystal structure of Na2NdI4.

Computed properties:
Uncorrected formation energy ... -1.200 eV per atom

a b c (Å): 17.495 4.260 8.231
angles (deg): 90.00 117.56 90.00
Space group C2/m (No. 12)
Symmetry-distinct sites (fractional):
Na  0.236  0.000  0.214 [4 per cell]
Nd  0.000  0.500  0.500 [2 per cell]
I  0.119  0.500  0.928 [4 per cell]
I  0.133  0.000  0.470 [4 per cell]

---

No. 2
A plane-wave DFT calculation with PBE-GGA was carried out for an optimized crystal structure of NaNdI.

Computed properties:
Uncorrected formation energy ... -0.633 eV per atom

a b c (Å): 6.947 4.010 15.584
angles (deg): 90.00 98.62 90.00
Space group C2/m (No. 12)
Symmetry-distinct sites (fractional):
Na  0.198  0.000  0.095 [4 per cell]
Nd  0.199  0.500  0.594 [4 per cell]
I  0.082  0.500  0.251 [4 per cell]

---

No. 3
A plane-wave DFT calculation with PBE-GGA was carried out for an optimized crystal structure of NaNdI6.

Computed properties:
Uncorrected formation energy ... -0.764 eV per atom

a b c (Å): 12.493 12.493 12.493
angles (deg): 90.00 90.00 90.00
Space group Fm-3m (No. 225)
Symmetry-distinct sites (fractional):
Na  0.000  0.000  0.000 [4 per cell]
Nd  0.000  0.000  0.500 [4 per cell]
I  0.000  0.000  0.252 [24 per cell]

---

No. 4
A plane-wave DFT calculation with PBE-GGA was carried out for an optimized crystal structure of NaNdI2.

Computed properties:
Uncorrected formation energy ... -0.997 eV per atom
Excess energy over the best structure of this formula in the dataset ... 0.00 eV/f.u.

a b c (Å): 4.1400 4.1400 26.4218
angles (deg): 90.00 90.00 120.00
Space group R3m (No. 160, hexagonal axes)
Symmetry-distinct sites (fractional):
Na  0.0000  0.0000  0.0000 [3 per cell]
Nd  0.0000  0.0000  0.1665 [3 per cell]
I  0.0000  0.0000  0.4145 [3 per cell]
I  0.0000  0.0000  0.5855 [3 per cell]

---

No. 5
A plane-wave DFT calculation with PBE-GGA was carried out for an optimized crystal structure of Na3NdI6.

Computed properties:
Uncorrected formation energy ... -1.298 eV per atom
Excess energy over the best structure of this formula in the dataset ... 0.00 eV/f.u.

a b c (Å): 13.6099 13.6099 16.1959
angles (deg): 90.00 90.00 120.00
Space group R-3 (No. 148, hexagonal axes)
Symmetry-distinct sites (fractional):
Na  0.0565  0.7819  0.1993 [18 per cell]
Nd  0.0000  0.0000  0.0000 [3 per cell]
Nd  0.0000  0.0000  0.5000 [3 per cell]
I  0.0170  0.8162  0.3938 [18 per cell]
I  0.0272  0.8325  0.8831 [18 per cell]

---

No. 6
A plane-wave DFT calculation with PBE-GGA was carried out for an optimized crystal structure of NaNdI2.

Computed properties:
Uncorrected formation energy ... -0.929 eV per atom
Excess energy over the best structure of this formula in the dataset ... 0.27 eV/f.u.

a b c (Å): 4.1090 4.1090 32.9118
angles (deg): 90.00 90.00 120.00
Space group R-3m (No. 166, hexagonal axes)
Symmetry-distinct sites (fractional):
Na  0.0000  0.0000  0.0000 [3 per cell]
Nd  0.0000  0.0000  0.5000 [3 per cell]
I  0.0000  0.0000  0.1008 [6 per cell]